# La3Sm3PuTe8 | Alexandria | PBE | relaxed
# **Total energy**: -0.22117 Ha/atom
# **Magnetic moment**: 6.18 μB per formula unit
# **Uncorrected formation energy**: -2110 kJ/mol of formula units
data_La3Sm3PuTe8
_chemical_formula_sum 'La3 Sm3 Pu1 Te8'
_symmetry_space_group_name_H-M 'P 1'
_symmetry_Int_Tables_number 1
_cell_length_a 8.966
_cell_length_b 8.967
_cell_length_c 9.035
_cell_angle_alpha 119.75
_cell_angle_beta 90.01
_cell_angle_gamma 120.00
loop_
_symmetry_equiv_pos_as_xyz
'x,y,z'
loop_
_atom_site_label
_atom_site_type_symbol
_atom_site_fract_x
_atom_site_fract_y
_atom_site_fract_z
La1 La 0.000 0.000 0.000
La2 La 0.000 0.500 0.000
La3 La 0.500 0.500 0.000
Sm1 Sm 0.500 0.000 0.500
Sm2 Sm 0.500 0.500 0.500
Sm3 Sm 0.000 0.500 0.500
Pu1 Pu 0.000 0.000 0.500
Te1 Te 0.253 0.506 0.259
Te2 Te 0.747 0.494 0.741
Te3 Te 0.748 0.496 0.254
Te4 Te 0.252 0.504 0.746
Te5 Te 0.748 0.006 0.254
Te6 Te 0.252 0.994 0.746
Te7 Te 0.258 0.006 0.254
Te8 Te 0.742 0.994 0.746